LiCeS3 after structural relaxation. Source: the Alexandria database, functional PBE.

Cell and atoms, written as CIF:
```
data_LiCeS3
_symmetry_space_group_name_H-M 'P 1 21/c 1'
_symmetry_Int_Tables_number 14
_cell_length_a 6.9548
_cell_length_b 8.3190
_cell_length_c 7.5613
_cell_angle_alpha 90.00
_cell_angle_beta 91.57
_cell_angle_gamma 90.00
loop_
_symmetry_equiv_pos_as_xyz
'x,y,z'
'-x,-y,-z'
'-x,y+1/2,-z+1/2'
'x,-y+1/2,z+1/2'
loop_
_atom_site_label
_atom_site_type_symbol
_atom_site_fract_x
_atom_site_fract_y
_atom_site_fract_z
Li1 Li 0.1843 0.1984 0.0600
Ce1 Ce 0.3099 0.6429 0.8541
S1 S 0.0629 0.0089 0.6265
S2 S 0.1868 0.5994 0.5165
S3 S 0.4297 0.1745 0.3486
```

total DFT energy (no corrections): -0.4005 Ry/atom
energy relative to the elements, uncorrected: -1404 meV/atom
total magnetic moment: 0.00 μB/cell
calculated volume: 437.31 Å³ per cell

=====

USnRh2 after structural relaxation. Source: the Alexandria database, functional PBE.

Cell and atoms, written as CIF:
```
data_USnRh2
_symmetry_space_group_name_H-M 'P 4/m m m'
_symmetry_Int_Tables_number 123
_symmetry_space_group_name_Hall '-P 4 2'
_cell_length_a 4.8073
_cell_length_b 4.8073
_cell_length_c 3.2284
_cell_angle_alpha 90.00
_cell_angle_beta 90.00
_cell_angle_gamma 90.00
loop_
_atom_site_label
_atom_site_type_symbol
_atom_site_fract_x
_atom_site_fract_y
_atom_site_fract_z
U1 U 0.0000 0.0000 0.0000
Sn1 Sn 0.5000 0.5000 0.0000
Rh1 Rh 0.0000 0.5000 0.5000
```

total DFT energy (no corrections): -0.5810 Ry/atom
total magnetic moment: 2.07 μB/cell
DFT formation energy: -406 meV per atom
calculated volume: 74.61 Å³ per cell

=====

LiZnCu2Ni after structural relaxation. Source: the Alexandria database, functional PBE.

Cell and atoms, written as CIF:
```
data_LiZnCu2Ni
_symmetry_space_group_name_H-M 'C m c m'
_symmetry_Int_Tables_number 63
_symmetry_space_group_name_Hall '-C 2c 2'
_cell_length_a 4.7072
_cell_length_b 12.1447
_cell_length_c 4.7246
_cell_angle_alpha 90.00
_cell_angle_beta 90.00
_cell_angle_gamma 90.00
loop_
_atom_site_label
_atom_site_type_symbol
_atom_site_fract_x
_atom_site_fract_y
_atom_site_fract_z
Li1 Li 0.0000 0.1523 0.2500
Zn1 Zn 0.0000 0.2467 0.7500
Cu1 Cu 0.2486 0.5000 0.0000
Ni1 Ni 0.0000 0.3479 0.2500
```

total DFT energy (no corrections): -0.2427 Ry/atom
total magnetic moment: 0.00 μB/cell
DFT formation energy: 130 meV per atom
calculated volume: 270.09 Å³ per cell